Record 1
Crystalline Tl2MoPb at its relaxed geometry. Source: Alexandria via LeMat-Bulk, functional PBE-GGA.

Properties
The total moment comes out at 1.68 μB per cell. The value obtained for the total energy is -0.151 hartree per atom. The calculation puts the excess energy over the best structure of this formula in the dataset at 0.2150 eV/atom. For the formation energy, the calculation gives 0.7041 eV/atom.

Unit cell a=10.586 b=10.586 c=7.965 alpha=48.35 beta=48.35 gamma=90.00
Positions (direct):
Tl 0.374 0.625 0.250
Tl 0.875 0.626 0.750
Mo 0.250 0.750 0.500
Tl 0.375 0.624 0.750
Tl 0.376 0.125 0.250
Pb 0.750 0.250 0.500
Pb 0.000 0.000 0.000
Mo 0.500 0.500 0.000

***

Record 2
Crystalline Fe2AuN at its relaxed geometry. Source: Alexandria via LeMat-Bulk, functional PBE-GGA.

Properties
The total moment comes out at 6.69 μB per cell. The value obtained for the total energy is -0.222 hartree per atom. For the raw formation energy, the calculation gives 4.40 eV/f.u.

Unit cell a=4.200 b=4.200 c=4.200 alpha=60.00 beta=60.00 gamma=60.00
Positions (direct):
Au 0.500 0.500 0.500
N 0.000 0.000 0.000
Fe 0.750 0.750 0.750
Fe 0.250 0.250 0.250

***

Record 3
Crystalline Ac3AsS2 at its relaxed geometry. Source: Alexandria via LeMat-Bulk, functional PBE-GGA.

Properties
The total moment comes out at 0.00 μB per cell. The value obtained for the total energy is -0.223 hartree per atom. For the raw formation energy, the calculation gives -11.16 eV/f.u.

Unit cell a=4.398 b=6.207 c=7.606 alpha=114.08 beta=106.80 gamma=90.00
Positions (direct):
As 0.500 0.500 0.500
S 0.835 0.835 0.169
Ac 0.168 0.668 0.837
Ac 0.832 0.332 0.163
S 0.165 0.165 0.831
Ac 0.500 0.000 0.500

***

Record 4
Crystalline ErAlSn2 at its relaxed geometry. Source: Alexandria via LeMat-Bulk, functional PBE-GGA.

Properties
The total moment comes out at 0.00 μB per cell. The value obtained for the total energy is -0.151 hartree per atom. For the formation energy, the calculation gives -0.0300 eV/atom.

Unit cell a=3.353 b=3.353 c=10.820 alpha=81.09 beta=81.09 gamma=60.00
Positions (direct):
Sn 0.086 0.086 0.741
Er 0.500 0.500 0.500
Sn 0.914 0.914 0.259
Al 0.000 0.000 0.000

***

Record 5
Crystalline MnBeMo2Br at its relaxed geometry. Source: Alexandria via LeMat-Bulk, functional PBE-GGA.

Properties
The total moment comes out at 1.10 μB per cell. The value obtained for the total energy is -0.205 hartree per atom. For the raw formation energy, the calculation gives 8.29 eV/f.u.

Unit cell a=4.537 b=4.508 c=4.537 alpha=90.00 beta=90.00 gamma=90.00
Positions (direct):
Br 0.000 0.500 0.000
Mn 0.000 0.000 0.000
Be 0.500 0.500 0.500
Mo 0.000 0.000 0.500
Mo 0.500 0.000 0.000

***

Record 6
Crystalline RbNaIn2Ga at its relaxed geometry. Source: Alexandria via LeMat-Bulk, functional PBE-GGA.

Properties
The total moment comes out at 0.00 μB per cell. The value obtained for the total energy is -0.077 hartree per atom. For the formation energy, the calculation gives 0.0625 eV/atom.

Unit cell a=5.625 b=5.625 c=5.764 alpha=90.00 beta=90.00 gamma=90.00
Positions (direct):
Na 0.000 0.000 0.500
In 0.500 0.000 0.000
Rb 0.500 0.500 0.500
In 0.000 0.500 0.000
Ga 0.000 0.000 0.000

***

Record 7
Crystalline ZrSc14Pb at its relaxed geometry. Source: Alexandria via LeMat-Bulk, functional PBE-GGA.

Properties
The total moment comes out at 0.00 μB per cell. The value obtained for the total energy is -0.232 hartree per atom. For the formation energy, the calculation gives -0.0199 eV/atom.

Unit cell a=6.519 b=6.519 c=9.137 alpha=90.00 beta=90.00 gamma=90.01
Positions (direct):
Sc 0.875 0.625 0.000
Sc 0.120 0.880 0.247
Sc 0.630 0.370 0.753
Sc 0.120 0.370 0.247
Zr 0.875 0.125 0.000
Sc 0.630 0.370 0.247
Pb 0.375 0.625 0.000
Sc 0.875 0.125 0.500
Sc 0.630 0.880 0.247
Sc 0.120 0.880 0.753
Sc 0.375 0.125 0.500
Sc 0.630 0.880 0.753
Sc 0.875 0.625 0.500
Sc 0.375 0.125 0.000
Sc 0.375 0.625 0.500
Sc 0.120 0.370 0.753

***

Record 8
Crystalline SrCdHgPt at its relaxed geometry. Source: Alexandria via LeMat-Bulk, functional PBE-GGA.

Properties
The total moment comes out at 0.00 μB per cell. The value obtained for the total energy is -0.096 hartree per atom. For the formation energy, the calculation gives -0.3825 eV/atom.

Unit cell a=5.140 b=5.140 c=5.140 alpha=60.00 beta=60.00 gamma=60.00
Positions (direct):
Sr 0.000 0.000 0.000
Hg 0.250 0.250 0.250
Cd 0.500 0.500 0.500
Pt 0.750 0.750 0.750

***

Record 9
Crystalline YCoMo2 at its relaxed geometry. Source: Alexandria via LeMat-Bulk, functional PBE-GGA.

Properties
The total moment comes out at 0.00 μB per cell. The value obtained for the total energy is -0.291 hartree per atom. The calculation puts the excess energy over the best structure of this formula in the dataset at 0.6907 eV/atom. For the formation energy, the calculation gives 0.8868 eV/atom.

Unit cell a=4.669 b=4.669 c=8.955 alpha=74.89 beta=74.89 gamma=90.00
Positions (direct):
Mo 0.354 0.125 0.250
Y 0.750 0.250 0.500
Mo 0.875 0.604 0.750
Y 0.000 0.000 0.000
Co 0.500 0.500 0.000
Mo 0.396 0.625 0.250
Co 0.250 0.750 0.500
Mo 0.375 0.646 0.750

***

Record 10
Crystalline BaIF2 at its relaxed geometry. Source: Alexandria via LeMat-Bulk, functional PBE-GGA.

Properties
The total moment comes out at 1.00 μB per cell. The value obtained for the total energy is -0.160 hartree per atom. The calculation puts the excess energy over the best structure of this formula in the dataset at 0.0000 eV/atom. For the raw formation energy, the calculation gives -10.22 eV/f.u.

Unit cell a=10.042 b=10.042 c=10.042 alpha=23.75 beta=23.75 gamma=23.75
Positions (direct):
F 0.869 0.869 0.869
Ba 0.500 0.500 0.500
I 0.000 0.000 0.000
F 0.131 0.131 0.131

***

Record 11
Crystalline Ba4HRhBr2 at its relaxed geometry. Source: Alexandria via LeMat-Bulk, functional PBE-GGA.

Properties
The total moment comes out at 0.00 μB per cell. The value obtained for the total energy is -0.135 hartree per atom.

Unit cell a=4.474 b=7.527 c=8.675 alpha=106.80 beta=90.00 gamma=90.00
Positions (direct):
Br 0.000 0.500 0.500
Rh 0.500 0.500 0.000
H 0.000 0.000 0.000
Ba 0.500 0.242 0.208
Ba 0.000 0.741 0.209
Ba 0.500 0.758 0.792
Br 0.500 0.000 0.500
Ba 0.000 0.259 0.791

***

Record 12
Crystalline ScHgO2F at its relaxed geometry. Source: Alexandria via LeMat-Bulk, functional PBE-GGA.

Properties
The total moment comes out at 0.52 μB per cell. The value obtained for the total energy is -0.163 hartree per atom. For the raw formation energy, the calculation gives -3.72 eV/f.u.

Unit cell a=4.238 b=4.238 c=4.455 alpha=90.00 beta=90.00 gamma=90.00
Positions (direct):
Hg 0.000 0.000 0.000
O 0.500 0.000 0.000
O 0.000 0.500 0.000
Sc 0.500 0.500 0.500
F 0.000 0.000 0.500